Material: Li2ScCd
Method: DFT, GGA-PBE
State: relaxed

```
16
Lattice="6.663 0.000 0.000 0.000 6.663 0.000 0.000 0.000 6.663" Properties=species:S:1:pos:R:3 pbc="T T T"
Li 1.666 1.666 1.666
Li 1.666 1.666 4.997
Li 1.666 4.997 1.666
Li 1.666 4.997 4.997
Li 4.997 1.666 1.666
Li 4.997 1.666 4.997
Li 4.997 4.997 1.666
Li 4.997 4.997 4.997
Sc 0.000 0.000 0.000
Sc 0.000 3.331 3.331
Sc 3.331 0.000 3.331
Sc 3.331 3.331 0.000
Cd 0.000 0.000 3.331
Cd 0.000 3.331 0.000
Cd 3.331 0.000 0.000
Cd 3.331 3.331 3.331
```

Calculated values
Space-group type ... Fm-3m (225)
Formation energy from the elements ... -68 meV/atom
Excess energy over the best structure of this formula in the dataset ... 11.8 meV/atom
Calculated volume ... 295.8 Å³ per cell